Entry 1:
Nd2Ag4S5: relaxed, PBE-GGA.

M_tot: 0.00 μB per cell
electronic total energy: -150.608 eV/cell

Cell lengths 4.1471, 4.1471, 52.2270 Å; angles 90.00, 90.00, 120.00 degrees
Space group R-3m (No. 166, hexagonal axes)
Asymmetric unit:
Nd1 0.0000 0.0000 0.1345 x6
Ag1 0.0000 0.0000 0.3077 x6
Ag2 0.0000 0.0000 0.4140 x6
S1 0.0000 0.0000 0.2283 x6
S2 0.0000 0.0000 0.3670 x6
S3 0.0000 0.0000 0.5000 x3

***

Entry 2:
Nd5AgS4: relaxed, PBE-GGA.

M_tot: 0.00 μB per cell
electronic total energy: -119.133 eV/cell

Cell lengths 13.774, 4.091, 10.166 Å; angles 90.00, 120.06, 90.00 degrees
Space group C2/m (No. 12)
Asymmetric unit:
Nd1 0.000 0.000 0.000 x2
Nd2 0.110 0.500 0.392 x4
Nd3 0.206 0.000 0.812 x4
Ag1 0.000 0.000 0.500 x2
S1 0.097 0.500 0.898 x4
S2 0.204 0.000 0.296 x4

***

Entry 3:
Nd2AgS3: relaxed, PBE-GGA.

M_tot: 0.00 μB per cell
electronic total energy: -67.154 eV/cell

Cell lengths 3.751, 4.621, 15.925 Å; angles 90.00, 90.00, 90.00 degrees
Space group Immm (No. 71)
Asymmetric unit:
Nd1 0.000 0.000 0.143 x4
Ag1 0.000 0.000 0.500 x2
S1 0.000 0.000 0.322 x4
S2 0.000 0.500 0.500 x2

***

Entry 4:
NdAg5S4: relaxed, PBE-GGA.

M_tot: 0.00 μB per cell
electronic total energy: -80.898 eV/cell

Cell lengths 4.169, 7.429, 14.213 Å; angles 90.00, 90.00, 90.00 degrees
Space group Immm (No. 71)
Asymmetric unit:
Nd1 0.000 0.000 0.000 x2
Ag1 0.000 0.270 0.321 x8
Ag2 0.000 0.500 0.000 x2
S1 0.000 0.000 0.205 x4
S2 0.000 0.233 0.500 x4

***

| no. | formation energy without anion corrections (meV/atom) | ρ (g/cm3) |
| --- | --- | --- |
| 1 | -784 | 5.6 |
| 2 | -1637 | 6.4 |
| 3 | -1468 | 5.9 |
| 4 | -492 | 6.1 |